Material: AlZn
Method: DFT, PBE
State: relaxed

Cell lengths 2.839, 2.839, 3.959 Å; angles 90.00, 90.00, 90.00 degrees
Positions (direct):
Zn: 0.500 0.500 0.500
Al: 0.000 0.000 0.000

energy of formation from the pure elements = 33 meV/atom
calculated total energy = -2.476 eV per atom

=====

Material: Rb3CeBr7
Method: DFT, PBE
State: relaxed

Cell lengths 8.063, 8.063, 8.895 Å; angles 63.41, 63.41, 85.03 degrees
Each line ends with the local moment (μB).
Positions (direct):
Rb: 0.776 0.225 0.490  0.00
Br: 0.140 0.140 0.142  -0.01
Br: 0.979 0.310 0.736  -0.01
Br: 0.810 0.810 0.877  -0.01
Br: 0.652 0.652 0.416  0.00
Br: 0.640 0.130 0.208  -0.01
Rb: 0.510 0.510 0.907  0.00
Rb: 0.225 0.776 0.490  0.00
Br: 0.310 0.979 0.736  -0.01
Br: 0.130 0.640 0.208  -0.01
Ce: 0.953 0.953 0.042  0.17

calculated total energy = -3.538 eV per atom

=====

Material: YTiSb2Te
Method: DFT, PBE
State: relaxed

Cell lengths 5.717, 5.717, 5.747 Å; angles 90.00, 90.00, 90.00 degrees
Each line ends with the local moment (μB).
Positions (direct):
Te: 0.000 0.000 0.500  -0.04
Sb: 0.500 0.000 0.000  -0.04
Sb: 0.000 0.500 0.000  -0.04
Y: 0.000 0.000 0.000  0.01
Ti: 0.500 0.500 0.500  1.94

energy above the most stable polymorph in this dataset = 721 meV/atom
calculated total energy = -4.613 eV per atom

=====

Material: NaHo2Tl6
Method: DFT, PBE
State: relaxed

Cell lengths 3.512, 8.724, 10.044 Å; angles 115.74, 109.73, 90.00 degrees
Positions (direct):
Tl: 0.677 0.655 0.678
Tl: 0.500 0.679 0.000
Ho: 0.114 0.308 0.616
Na: 0.000 0.000 0.000
Tl: 0.323 0.345 0.322
Ho: 0.886 0.692 0.384
Tl: 0.323 0.976 0.322
Tl: 0.677 0.024 0.678
Tl: 0.500 0.321 0.000

energy of formation from the pure elements = -75 meV/atom
calculated total energy = -2.817 eV per atom

=====

Material: LiY2SiO6
Method: DFT, PBE
State: relaxed

Cell lengths 5.232, 5.562, 7.348 Å; angles 90.00, 88.26, 90.00 degrees
Each line ends with the local moment (μB).
Positions (direct):
O: 0.172 0.227 0.054  0.20
Li: 0.500 0.000 0.000  0.00
O: 0.401 0.970 0.732  0.17
Y: 0.978 0.073 0.746  0.00
Li: 0.000 0.500 0.500  0.00
O: 0.718 0.322 0.954  0.08
O: 0.218 0.178 0.454  0.08
O: 0.672 0.273 0.554  0.20
Y: 0.522 0.573 0.754  0.00
O: 0.828 0.773 0.946  0.20
O: 0.599 0.030 0.268  0.17
Si: 0.000 0.500 0.000  -0.01
O: 0.782 0.822 0.546  0.08
O: 0.282 0.678 0.046  0.08
O: 0.099 0.470 0.768  0.17
O: 0.328 0.727 0.446  0.20
Y: 0.478 0.427 0.246  0.00
O: 0.901 0.530 0.232  0.17
Si: 0.500 0.000 0.500  -0.01
Y: 0.022 0.927 0.254  0.00

calculated total energy = -7.842 eV per atom

=====

Material: Y2Sn3Pt4
Method: DFT, PBE
State: relaxed

Cell lengths 5.938, 7.679, 8.730 Å; angles 90.00, 109.88, 90.00 degrees
Positions (direct):
Sn: 0.016 0.750 0.532
Y: 0.401 0.099 0.802
Sn: 0.484 0.250 0.468
Sn: 0.516 0.750 0.532
Pt: 0.684 0.750 0.868
Y: 0.099 0.599 0.198
Pt: 0.184 0.750 0.868
Sn: 0.984 0.250 0.468
Pt: 0.816 0.250 0.132
Sn: 0.500 0.500 0.000
Y: 0.599 0.901 0.198
Pt: 0.168 0.968 0.336
Pt: 0.316 0.250 0.132
Pt: 0.668 0.532 0.336
Sn: 0.000 0.000 0.000
Y: 0.901 0.401 0.802
Pt: 0.832 0.032 0.664
Pt: 0.332 0.468 0.664

energy of formation from the pure elements = -858 meV/atom
calculated total energy = -6.314 eV per atom

=====

calculated total energy of number 5 (LiY2SiO6)? -7.842 eV per atom

=====

The highest calculated total energy belongs to which entry? AlZn